This record from Alexandria via LeMat-Bulk describes a relaxed BaAc2ReN4 crystal. The functional is PBE.

Structure (CIF):
```
data_BaAc2ReN4
_chemical_formula_sum 'Ba2 Ac4 Re2 N8'
_cell_length_a 6.904
_cell_length_b 6.904
_cell_length_c 13.180
_cell_angle_alpha 90.00
_cell_angle_beta 90.00
_cell_angle_gamma 148.84
_space_group_name_H-M_alt 'P 1'
_space_group_IT_number 1
loop_
_space_group_symop_operation_xyz
'x,y,z'
loop_
_atom_site_label
_atom_site_fract_x
_atom_site_fract_y
_atom_site_fract_z
Ba1 0.055 0.945 0.750
Ba2 0.945 0.055 0.250
Ac1 0.370 0.630 0.541
Ac2 0.370 0.630 0.959
Ac3 0.630 0.370 0.041
Ac4 0.630 0.370 0.459
Re1 0.197 0.803 0.250
Re2 0.803 0.197 0.750
N1 0.000 0.000 0.000
N2 0.000 0.000 0.500
N3 0.258 0.742 0.123
N4 0.258 0.742 0.377
N5 0.379 0.621 0.750
N6 0.621 0.379 0.250
N7 0.742 0.258 0.623
N8 0.742 0.258 0.877
```

E_form (uncorrected): -680 meV per atom
DOS at the Fermi energy: 5.8 states/eV per cell
space group: Cmcm (63)
magnetic moment: 0.0 μB/f.u.
E: -122.7 eV/cell